Entry from Alexandria via LeMat-Bulk: crystalline CdInB3 at its relaxed geometry (PBE-GGA). Values from VASP.

E_form (eV per atom): 2.110
D(E_F) (states/eV/f.u.): 1.84
E above lowest polymorph (eV/atom): 0.000

The structure in Quantum ESPRESSO input format:
```
&SYSTEM
  ibrav = 0, nat = 5, ntyp = 3
/
ATOMIC_SPECIES
Cd 112.41 Cd.upf
In 114.82 In.upf
B 10.81 B.upf
ATOMIC_POSITIONS angstrom
Cd 0.000 0.000 0.000
In 2.235 2.235 2.235
B 0.000 0.000 2.235
B 0.000 2.235 0.000
B 2.235 0.000 0.000
CELL_PARAMETERS angstrom
4.469 0.000 0.000
0.000 4.469 0.000
0.000 0.000 4.469
```



Entry from Alexandria via LeMat-Bulk: crystalline CeY3Ru3 at its relaxed geometry (PBE-GGA). Values from VASP.

E_form (eV per atom): -0.382
D(E_F) (states/eV/f.u.): 4.59

The structure in Quantum ESPRESSO input format:
```
&SYSTEM
  ibrav = 0, nat = 7, ntyp = 3
/
ATOMIC_SPECIES
Ce 140.12 Ce.upf
Y 88.91 Y.upf
Ru 101.07 Ru.upf
ATOMIC_POSITIONS angstrom
Ce 0.000 0.000 0.000
Y -1.936 -1.118 2.772
Y 1.936 -1.118 2.772
Y 0.000 2.235 2.772
Ru 0.000 -2.890 1.646
Ru -2.503 1.445 1.646
Ru 2.503 1.445 1.646
CELL_PARAMETERS angstrom
4.734 2.733 2.007
-4.734 2.733 2.007
0.000 -5.466 2.007
```



Entry from Alexandria via LeMat-Bulk: crystalline Ac2CeMg at its relaxed geometry (PBE-GGA). Values from VASP.

E_form (eV per atom): 0.326
D(E_F) (states/eV/f.u.): 9.76
E above lowest polymorph (eV/atom): 0.263

The structure in Quantum ESPRESSO input format:
```
&SYSTEM
  ibrav = 0, nat = 4, ntyp = 3
/
ATOMIC_SPECIES
Ac 227.00 Ac.upf
Ce 140.12 Ce.upf
Mg 24.30 Mg.upf
ATOMIC_POSITIONS angstrom
Ac 0.000 0.000 3.516
Ac 0.000 0.000 35.156
Ce 0.000 0.000 0.000
Mg 0.000 0.000 19.336
CELL_PARAMETERS angstrom
1.825 1.054 12.890
-1.825 1.054 12.890
0.000 -2.108 12.890
```



Entry from Alexandria via LeMat-Bulk: crystalline La3Zn2Cd4 at its relaxed geometry (PBE-GGA). Values from VASP.

E_form (eV per atom): -0.345
D(E_F) (states/eV/f.u.): 7.55

The structure in Quantum ESPRESSO input format:
```
&SYSTEM
  ibrav = 0, nat = 9, ntyp = 3
/
ATOMIC_SPECIES
La 138.91 La.upf
Zn 65.41 Zn.upf
Cd 112.41 Cd.upf
ATOMIC_POSITIONS angstrom
La 0.000 0.000 0.000
La 2.258 0.000 2.806
La 4.610 0.000 5.463
Zn 1.267 0.000 6.008
Zn 5.602 0.000 2.261
Cd -1.065 0.000 3.153
Cd -0.937 0.000 7.782
Cd 7.806 0.000 0.486
Cd 7.934 0.000 5.115
CELL_PARAMETERS angstrom
5.604 -2.498 0.000
5.604 2.498 0.000
-4.339 0.000 8.269
```